Entry 1:
Material: Ac2LuSn
Method: DFT, PBE
State: relaxed

Cell and atoms, written as extended XYZ:
```
12
Lattice="3.7733 0.0000 0.0000 -1.8867 3.2678 0.0000 0.0000 0.0000 37.7087" Properties=species:S:1:pos:R:3 pbc="T T T"
Ac 0.0000 0.0000 3.3519
Ac 0.0000 0.0000 34.3568
Ac 0.0000 2.1785 21.7872
Ac 0.0000 2.1785 28.4911
Ac 1.8867 1.0893 9.2176
Ac 1.8867 1.0893 15.9215
Lu 0.0000 0.0000 18.8544
Lu 0.0000 2.1785 6.2848
Lu 1.8867 1.0893 31.4239
Sn 0.0000 0.0000 0.0000
Sn 0.0000 2.1785 25.1392
Sn 1.8867 1.0893 12.5696
```

Results
DOS at the Fermi energy (states/eV per cell): 11.862
Energy relative to the elements (eV/atom): 0.1445

***

Entry 2:
Material: Ga6Cu
Method: DFT, PBE
State: relaxed

Cell and atoms, written as extended XYZ:
```
14
Lattice="7.1332 0.0000 0.0000 0.0000 7.1332 0.0000 0.0000 0.0000 7.1332" Properties=species:S:1:pos:R:3 pbc="T T T"
Ga 0.0000 1.7833 3.5666
Ga 0.0000 3.5666 1.7833
Ga 0.0000 3.5666 5.3499
Ga 0.0000 5.3499 3.5666
Ga 1.7833 0.0000 3.5666
Ga 1.7833 3.5666 0.0000
Ga 3.5666 0.0000 1.7833
Ga 3.5666 0.0000 5.3499
Ga 3.5666 1.7833 0.0000
Ga 3.5666 5.3499 0.0000
Ga 5.3499 0.0000 3.5666
Ga 5.3499 3.5666 0.0000
Cu 0.0000 0.0000 0.0000
Cu 3.5666 3.5666 3.5666
```

Results
DOS at the Fermi energy (states/eV per cell): 9.363
Energy relative to the elements (eV/atom): 0.5905

***

Entry 3:
Material: Nd4IrPd2
Method: DFT, PBE
State: relaxed

Cell and atoms, written as extended XYZ:
```
14
Lattice="-4.5565 4.5596 4.6855 4.5565 -4.5596 4.6855 4.5565 4.5596 -4.6855" Properties=species:S:1:pos:R:3 pbc="T T T"
Nd 2.7529 2.2798 -0.5661
Nd 6.3601 2.2798 -0.5661
Nd 0.0000 0.4759 1.7752
Nd 4.5565 0.4759 2.9103
Nd 0.0000 4.0838 1.7752
Nd 4.5565 4.0838 2.9103
Nd -1.8036 2.2798 5.2515
Nd 1.8036 2.2798 5.2515
Ir 4.5565 -2.2798 3.5098
Ir 0.0000 6.8394 1.1757
Pd 4.5565 0.0000 0.0000
Pd -2.2783 2.2798 2.3427
Pd 0.0000 0.0000 4.6855
Pd 2.2783 2.2798 2.3427
```

Results
DOS at the Fermi energy (states/eV per cell): 9.604
Energy relative to the elements (eV/atom): -0.5751

***

Entry 4:
Material: Pr2Ho3Tm3
Method: DFT, PBE
State: relaxed

Cell and atoms, written as extended XYZ:
```
8
Lattice="4.5086 2.6030 3.6841 -4.5086 2.6030 3.6841 0.0000 -5.2061 3.6841" Properties=species:S:1:pos:R:3 pbc="T T T"
Pr 0.0000 0.0000 2.7552
Pr 0.0000 0.0000 8.2971
Ho -2.2667 0.0000 5.5262
Ho 1.1333 -1.9630 5.5261
Ho 1.1333 1.9630 5.5261
Tm -1.1190 -3.2680 3.6841
Tm -2.2707 2.6030 3.6841
Tm 3.3896 0.6649 3.6841
```

Results
DOS at the Fermi energy (states/eV per cell): 17.749
Energy relative to the elements (eV/atom): 0.2280

***

Entry 5:
Material: Fe2BRh5
Method: DFT, PBE
State: relaxed

Cell and atoms, written as extended XYZ:
```
16
Lattice="5.1961 0.0000 0.0000 0.0000 9.8621 0.0000 0.0000 0.0000 4.0165" Properties=species:S:1:pos:R:3 pbc="T T T"
Fe 0.7661 1.3891 0.0000
Fe 1.8319 6.3202 0.0000
Fe 3.3642 3.5419 0.0000
Fe 4.4299 8.4729 0.0000
B 0.0000 4.9310 2.0083
B 2.5980 0.0000 2.0083
Rh 0.0000 0.0000 2.0083
Rh 0.5538 7.0782 2.0083
Rh 0.8799 3.9416 0.0000
Rh 1.7181 8.8727 0.0000
Rh 2.0443 2.1472 2.0083
Rh 2.5980 4.9310 2.0083
Rh 3.1518 7.7149 2.0083
Rh 3.4779 0.9894 0.0000
Rh 4.3162 5.9205 0.0000
Rh 4.6423 2.7839 2.0083
```

Results
DOS at the Fermi energy (states/eV per cell): 13.978
Energy relative to the elements (eV/atom): -0.0340

***

Entry 6:
Material: GdHfCoOs
Method: DFT, PBE
State: relaxed

Cell and atoms, written as extended XYZ:
```
16
Lattice="6.6145 0.0000 0.0000 0.0000 6.6145 0.0000 0.0000 0.0000 6.6145" Properties=species:S:1:pos:R:3 pbc="T T T"
Gd 0.0000 0.0000 0.0000
Gd 0.0000 3.3073 3.3073
Gd 3.3073 0.0000 3.3073
Gd 3.3073 3.3073 0.0000
Hf 0.0000 0.0000 3.3073
Hf 0.0000 3.3073 0.0000
Hf 3.3073 0.0000 0.0000
Hf 3.3073 3.3073 3.3073
Co 1.6536 1.6536 4.9609
Co 1.6536 4.9609 1.6536
Co 4.9609 1.6536 1.6536
Co 4.9609 4.9609 4.9609
Os 1.6536 1.6536 1.6536
Os 1.6536 4.9609 4.9609
Os 4.9609 1.6536 4.9609
Os 4.9609 4.9609 1.6536
```

Results
DOS at the Fermi energy (states/eV per cell): 5.873
Energy relative to the elements (eV/atom): -0.2623

***

What is the formula in the sixth record?
GdHfCoOs

***

Look up the DOS at the Fermi energy of the second one.
9.363 states/eV per cell

***

What is the DOS at the Fermi energy in the fifth record?
13.978 states/eV per cell